Entry 1:
# NiTeOs | Alexandria | GGA-PBE | relaxed
# Magnetic moment (μB per formula unit): 0.000
# Offset from the most stable computed form (meV per atom): 300
# Density (g/cm3): 12.536
# Raw formation energy (meV/atom): 695
data_NiTeOs
_cell_length_a 4.2875
_cell_length_b 4.2875
_cell_length_c 3.1329
_cell_angle_alpha 90.00
_cell_angle_beta 90.00
_cell_angle_gamma 120.00
_space_group_name_H-M_alt 'P 3 m 1'
_space_group_IT_number 156
_space_group_name_Hall 'P 3 -2"'
loop_
_atom_site_label
_atom_site_type_symbol
_atom_site_fract_x
_atom_site_fract_y
_atom_site_fract_z
Ni1 Ni 0.0000 0.0000 0.0000
Te1 Te 0.3333 0.6667 0.6420
Os1 Os 0.6667 0.3333 0.4768

***

Entry 2:
# NiTe2Os | Alexandria | GGA-PBE | relaxed
# Magnetic moment (μB per formula unit): 0.555
# Offset from the most stable computed form (meV per atom): 929
# Density (g/cm3): 11.058
# Raw formation energy (meV/atom): 1126
data_NiTe2Os
_cell_length_a 6.715
_cell_length_b 6.715
_cell_length_c 6.715
_cell_angle_alpha 90.00
_cell_angle_beta 90.00
_cell_angle_gamma 90.00
_space_group_name_H-M_alt 'F -4 3 m'
_space_group_IT_number 216
_space_group_name_Hall 'F -4 2 3'
loop_
_atom_site_label
_atom_site_type_symbol
_atom_site_fract_x
_atom_site_fract_y
_atom_site_fract_z
Ni1 Ni 0.000 0.000 0.000
Te1 Te 0.000 0.000 0.500
Te2 Te 0.250 0.250 0.250
Os1 Os 0.250 0.250 0.750

***

Entry 3:
# NiTe2Os | Alexandria | GGA-PBE | relaxed
# Magnetic moment (μB per formula unit): 0.000
# Offset from the most stable computed form (meV per atom): 62
# Density (g/cm3): 9.648
# Raw formation energy (meV/atom): 259
data_NiTe2Os
_cell_length_a 3.181
_cell_length_b 3.601
_cell_length_c 7.574
_cell_angle_alpha 90.00
_cell_angle_beta 90.00
_cell_angle_gamma 90.00
_space_group_name_H-M_alt 'P m m 2'
_space_group_IT_number 25
_space_group_name_Hall 'P 2 -2'
loop_
_atom_site_label
_atom_site_type_symbol
_atom_site_fract_x
_atom_site_fract_y
_atom_site_fract_z
Ni1 Ni 0.000 0.000 0.000
Te1 Te 0.000 0.000 0.367
Te2 Te 0.500 0.500 0.847
Os1 Os 0.500 0.500 0.195

***

Entry 4:
# NiTe4Os | Alexandria | GGA-PBE | relaxed
# Magnetic moment (μB per formula unit): 3.898
# Density (g/cm3): 7.857
# Raw formation energy (meV/atom): 1686
data_NiTe4Os
_cell_length_a 8.626
_cell_length_b 8.626
_cell_length_c 8.626
_cell_angle_alpha 90.00
_cell_angle_beta 90.00
_cell_angle_gamma 90.00
_space_group_name_H-M_alt 'F -4 3 m'
_space_group_IT_number 216
_space_group_name_Hall 'F -4 2 3'
loop_
_atom_site_label
_atom_site_type_symbol
_atom_site_fract_x
_atom_site_fract_y
_atom_site_fract_z
Ni1 Ni 0.000 0.000 0.000
Te1 Te 0.125 0.125 0.375
Os1 Os 0.250 0.250 0.750